1.
The following is a GGA-PBE calculation of an optimized crystal structure of NdRuW, from Alexandria.

Computed properties:
As for the density of states at the Fermi level: 3.668 states/eV/f.u. The calculation puts the final energy at -8.74 eV/atom. The space-group type is P2_1/m. The energy of formation from the pure elements comes out at 0.8 eV/f.u.

Unit cell a=4.740 b=4.465 c=6.610 alpha=90.00 beta=90.54 gamma=90.00
Sites, in units of the cell vectors:
1 Nd 0.243 0.250 0.352
2 Nd 0.757 0.750 0.648
3 Ru 0.321 0.750 0.988
4 Ru 0.679 0.250 0.012
5 W 0.147 0.250 0.859
6 W 0.853 0.750 0.141


2.
The following is a GGA-PBE calculation of an optimized crystal structure of NdYRu, from Alexandria.

Computed properties:
As for the density of states at the Fermi level: 2.119 states/eV/f.u. The value obtained for the energy above the most stable polymorph in this dataset is 22.47 kJ per mole of atoms. The calculation puts the final energy at -6.87 eV/atom. The space-group type is P3m1. The energy of formation from the pure elements comes out at -0.1 eV/f.u.

Unit cell a=4.773 b=4.773 c=3.710 alpha=90.00 beta=90.00 gamma=120.00
Sites, in units of the cell vectors:
1 Nd 0.000 0.000 0.000
2 Y 0.333 0.667 0.549
3 Ru 0.667 0.333 0.295